The following is a DFT calculation (GGA-PBE) of a relaxed structure of CaCe2Br6.

Values from the calculation:
energy relative to the elements, uncorrected: -168.9 kJ per mole of atoms
size of the total moment: 4.022 μB/f.u.

a b c (Å): 16.0966 4.1624 10.3857
angles (deg): 90.00 107.99 90.00
Last column: nearest neighbours and their distance in Å.
Space group C2/m (No. 12)
Asymmetric unit:
1 Ca 0.0000 0.0000 0.0000  6 Br 2.91-2.93
2 Ce 0.1817 0.5000 0.3596  6 Br 3.00-3.11
3 Br 0.0354 0.0000 0.2940  1 Ca 2.93, 2 Ce 3.06
4 Br 0.1320 0.5000 0.0454  2 Ca 2.91, 1 Ce 3.11
5 Br 0.1849 0.5000 0.6503  3 Ce 3.00-3.01

=====

The following is a DFT calculation (GGA-PBE) of a relaxed structure of Ho8Tm2Sc.

Values from the calculation:
excess energy over the best structure of this formula in the dataset: 0.0 meV per atom
size of the total moment: 0.001 μB/f.u.
formation enthalpy at 0 K: 0.187 eV per atom

a b c (Å): 16.3312 6.5124 6.5343
angles (deg): 90.00 101.57 90.00
Last column: nearest neighbours and their distance in Å.
Space group C2/m (No. 12)
Asymmetric unit:
1 Ho 0.0834 0.2412 0.3923  1 Sc 3.14, 6 Ho 3.14-3.51, 1 Tm 3.39
2 Ho 0.0924 0.0000 0.9099  8 Ho 3.32-3.71, 1 Tm 3.63, 2 Sc 3.69
3 Ho 0.2456 0.5000 0.3264  5 Ho 3.24-3.40, 4 Tm 3.32-3.58
4 Tm 0.1919 0.5000 0.8092  7 Ho 3.32-3.63, 1 Sc 3.60
5 Sc 0.0000 0.5000 0.0000  4 Ho 3.14

=====

The following is a DFT calculation (GGA-PBE) of a relaxed structure of TaMn2Os.

Values from the calculation:
excess energy over the best structure of this formula in the dataset: 143.1 meV per atom
size of the total moment: 3.654 μB/f.u.
formation enthalpy at 0 K: 0.054 eV per atom

a b c (Å): 2.6998 4.2811 4.9254
angles (deg): 90.00 99.60 90.00
Last column: nearest neighbours and their distance in Å.
Space group Pm (No. 6)
Asymmetric unit:
1 Ta 0.0000 0.0000 0.0000  4 Mn 2.60-2.67, 2 Os 2.70, 2 Ta 2.70
2 Mn 0.5273 0.0000 0.4928  4 Mn 2.53-2.70, 2 Os 2.58, 2 Ta 2.60-2.61
3 Mn 0.6958 0.5000 0.2507  3 Os 2.51-2.77, 4 Mn 2.53-2.70, 2 Ta 2.67
4 Os 0.2429 0.5000 0.7158  5 Mn 2.51-2.77, 2 Ta 2.70, 2 Os 2.70

=====

The following is a DFT calculation (GGA-PBE) of a relaxed structure of Sb2AuO.

Values from the calculation:
excess energy over the best structure of this formula in the dataset: 323.5 meV per atom
energy relative to the elements, uncorrected: 7.8 kJ per mole of atoms
size of the total moment: 0.000 μB/f.u.

a b c (Å): 6.6786 6.6786 6.6786
angles (deg): 90.00 90.00 90.00
Last column: nearest neighbours and their distance in Å.
Space group Fm-3m (No. 225)
Asymmetric unit:
1 Sb 0.2500 0.2500 0.2500  4 O 2.89, 4 Au 2.89
2 Au 0.0000 0.0000 0.0000  8 Sb 2.89
3 O 0.0000 0.0000 0.5000  8 Sb 2.89

=====

The following is a DFT calculation (GGA-PBE) of a relaxed structure of Ta2Cr2Cd.

Values from the calculation:
size of the total moment: 0.000 μB/f.u.
formation enthalpy at 0 K: 0.324 eV per atom

a b c (Å): 7.3051 7.3051 3.0602
angles (deg): 90.00 90.00 90.00
Last column: nearest neighbours and their distance in Å.
Space group P4/mbm (No. 127)
Asymmetric unit:
1 Ta 0.1983 0.3017 0.0000  6 Cr 2.60-2.75
2 Cr 0.0979 0.5979 0.5000  1 Cr 2.02
3 Cd 0.0000 0.0000 0.5000  4 Cr 3.02, 8 Ta 3.05, 2 Cd 3.06

=====

The following is a DFT calculation (GGA-PBE) of a relaxed structure of YCrIn2.

Values from the calculation:
size of the total moment: 3.472 μB/f.u.
formation enthalpy at 0 K: -0.054 eV per atom

a b c (Å): 3.5017 3.5121 7.4054
angles (deg): 90.00 90.00 90.00
Last column: nearest neighbours and their distance in Å.
Space group Pmmm (No. 47)
Asymmetric unit:
1 Y 0.0000 0.0000 0.0000  8 In 3.27, 4 Y 3.50-3.51
2 Cr 0.0000 0.0000 0.5000  8 In 2.94
3 In 0.5000 0.5000 0.2868  4 Cr 2.94, 1 In 3.16, 4 Y 3.27

=====

The following is a DFT calculation (GGA-PBE) of a relaxed structure of PrH2Rh3.

Values from the calculation:
E: -0.2098 Ha/atom
size of the total moment: 0.000 μB/f.u.

a b c (Å): 5.4369 5.4369 2.9662
angles (deg): 90.00 90.00 120.00
Last column: nearest neighbours and their distance in Å.
Space group P6/mmm (No. 191)
Asymmetric unit:
1 Pr 0.0000 0.0000 0.0000  2 Pr 2.97, 12 Rh 3.10, 6 H 3.14
2 H 0.3333 0.6667 0.0000  6 Rh 2.16
3 Rh 0.0000 0.5000 0.5000  4 H 2.16

=====

The following is a DFT calculation (GGA-PBE) of a relaxed structure of Sm7Dy3Ho2.

Values from the calculation:
size of the total moment: 0.000 μB/f.u.
formation enthalpy at 0 K: 0.292 eV per atom

a b c (Å): 6.2357 5.5316 12.1820
angles (deg): 90.00 91.05 90.00
Last column: nearest neighbours and their distance in Å.
Space group P2/m (No. 10)
Asymmetric unit:
1 Sm 0.0000 0.0000 0.0000  6 Sm 3.49-3.51
2 Sm 0.0900 0.5000 0.1699  2 Ho 3.26-3.51, 3 Dy 3.32-3.60, 5 Sm 3.49-3.56
3 Sm 0.2419 0.5000 0.4533  2 Ho 3.19-3.38, 3 Sm 3.24-3.56
4 Sm 0.4416 0.0000 0.1828  2 Ho 3.18, 3 Sm 3.51-3.53
5 Dy 0.0618 0.0000 0.6592  2 Ho 3.50, 8 Sm 3.60-3.91
6 Dy 0.5000 0.5000 0.0000  6 Sm 3.32-3.57, 2 Ho 3.45
7 Ho 0.3845 0.5000 0.7222  6 Sm 3.18-3.51, 3 Dy 3.45-3.50

=====

The following is a DFT calculation (GGA-PBE) of a relaxed structure of Pr6Dy4Er.

Values from the calculation:
excess energy over the best structure of this formula in the dataset: 0.0 meV per atom
size of the total moment: 0.000 μB/f.u.
formation enthalpy at 0 K: 0.138 eV per atom

a b c (Å): 11.1233 11.1233 3.5861
angles (deg): 90.00 90.00 120.00
Last column: nearest neighbours and their distance in Å.
Space group P-6m2 (No. 187)
Asymmetric unit:
1 Pr 0.1817 0.3634 0.0000  4 Dy 3.29-3.43, 2 Pr 3.59
2 Pr 0.5283 0.0566 0.5000  5 Dy 3.58-3.76, 6 Pr 3.59-3.86
3 Dy 0.3131 0.1565 0.0000  6 Pr 3.29-3.58, 2 Er 3.51, 2 Dy 3.59
4 Dy 0.3333 0.6667 0.5000  9 Pr 3.43-3.76, 2 Dy 3.59
5 Er 0.0000 0.0000 0.5000  6 Dy 3.51, 2 Er 3.59

=====

The following is a DFT calculation (GGA-PBE) of a relaxed structure of BaP2ClO.

Values from the calculation:
excess energy over the best structure of this formula in the dataset: 0.0 meV per atom
energy relative to the elements, uncorrected: -57.3 kJ per mole of atoms
size of the total moment: 0.032 μB/f.u.

a b c (Å): 4.1519 4.1519 6.3211
angles (deg): 90.00 90.00 90.00
Last column: nearest neighbours and their distance in Å.
Space group P4/mmm (No. 123)
Asymmetric unit:
1 Ba 0.0000 0.0000 0.0000  4 Cl 2.94
2 P 0.0000 0.5000 0.5000  2 O 2.08
3 Cl 0.5000 0.5000 0.0000  4 Ba 2.94, 2 O 3.16
4 O 0.5000 0.5000 0.5000  4 P 2.08

=====

The following is a DFT calculation (GGA-PBE) of a relaxed structure of ZrV4Cd.

Values from the calculation:
size of the total moment: 0.000 μB/f.u.
formation enthalpy at 0 K: 0.145 eV per atom

a b c (Å): 7.3100 7.3100 7.3100
angles (deg): 90.00 90.00 90.00
Last column: nearest neighbours and their distance in Å.
Space group F-43m (No. 216)
Asymmetric unit:
1 Zr 0.0000 0.0000 0.0000  12 V 3.02, 4 Cd 3.17
2 V 0.1285 0.1285 0.6285  6 V 2.51-2.66
3 Cd 0.2500 0.2500 0.2500  12 V 3.04, 4 Zr 3.17

=====

The following is a DFT calculation (GGA-PBE) of a relaxed structure of BaTaRe2.

Values from the calculation:
excess energy over the best structure of this formula in the dataset: 203.0 meV per atom
size of the total moment: 0.000 μB/f.u.
formation enthalpy at 0 K: 0.853 eV per atom

a b c (Å): 3.1339 3.1339 29.0567
angles (deg): 90.00 90.00 120.00
Last column: nearest neighbours and their distance in Å.
Space group R-3m (No. 166, hexagonal axes)
Asymmetric unit:
1 Ba 0.0000 0.0000 0.0000  6 Ba 3.13, 6 Re 3.40
2 Ta 0.0000 0.0000 0.5000  6 Re 2.67
3 Re 0.0000 0.0000 0.2343  3 Ta 2.67

=====

The following is a DFT calculation (GGA-PBE) of a relaxed structure of NaTi4Cl8.

Values from the calculation:
energy relative to the elements, uncorrected: -138.7 kJ per mole of atoms
size of the total moment: 0.947 μB/f.u.

a b c (Å): 11.5564 6.8700 8.8808
angles (deg): 90.00 126.63 90.00
Last column: nearest neighbours and their distance in Å.
Space group C2/m (No. 12)
Asymmetric unit:
1 Na 0.0000 0.0000 0.0000  6 Cl 2.82-2.89
2 Ti 0.0000 0.3041 0.5000  6 Cl 2.45-2.65, 1 Ti 2.69
3 Ti 0.2115 0.5000 0.4865  6 Cl 2.42-2.63
4 Cl 0.0066 0.0000 0.3222  3 Ti 2.63-2.65, 1 Na 2.82
5 Cl 0.0451 0.5000 0.7607  3 Ti 2.42-2.45
6 Cl 0.2299 0.2531 0.2784  3 Ti 2.48-2.61